Entry 1:
First-principles (PBE+U) data for an optimized crystal structure of Ca6VO8, as listed in the Alexandria database.

Lattice parameters (Å, degrees): 6.705 6.705 6.705 60.00 60.00 60.00
Element x y z (fractional)
Ca  0.000  0.500  0.500
Ca  0.500  0.000  0.000
Ca  0.500  0.500  0.000
Ca  0.000  0.000  0.500
Ca  0.000  0.500  0.000
Ca  0.500  0.000  0.500
V  0.000  0.000  0.000
O  0.750  0.750  0.750
O  0.250  0.250  0.250
O  0.787  0.213  0.213
O  0.213  0.787  0.787
O  0.213  0.213  0.787
O  0.787  0.787  0.213
O  0.787  0.213  0.787
O  0.213  0.787  0.213

Output
VASP energy, eV per cell: -100.57
DOS(E_F), states/eV per cell: 7.5
V, Å³ per atom: 14.21

Entry 2:
First-principles (PBE+U) data for an optimized crystal structure of UAl2CrO8, as listed in the Alexandria database.

Lattice parameters (Å, degrees): 5.656 5.656 5.656 109.65 109.65 109.11
Element x y z (fractional)
U  0.250  0.750  0.500
Al  0.750  0.250  0.500
Al  0.500  0.500  0.000
Cr  0.000  0.000  0.000
O  0.359  0.062  0.298
O  0.316  0.510  0.193
O  0.316  0.123  0.807
O  0.764  0.062  0.702
O  0.877  0.684  0.193
O  0.938  0.236  0.298
O  0.938  0.641  0.702
O  0.490  0.684  0.807

Output
VASP energy, eV per cell: -94.58
DOS(E_F), states/eV per cell: 1.9
V, Å³ per atom: 11.61

Copy entry 1 word for word.
First-principles (PBE+U) data for an optimized crystal structure of Ca6VO8, as listed in the Alexandria database.

Lattice parameters (Å, degrees): 6.705 6.705 6.705 60.00 60.00 60.00
Element x y z (fractional)
Ca  0.000  0.500  0.500
Ca  0.500  0.000  0.000
Ca  0.500  0.500  0.000
Ca  0.000  0.000  0.500
Ca  0.000  0.500  0.000
Ca  0.500  0.000  0.500
V  0.000  0.000  0.000
O  0.750  0.750  0.750
O  0.250  0.250  0.250
O  0.787  0.213  0.213
O  0.213  0.787  0.787
O  0.213  0.213  0.787
O  0.787  0.787  0.213
O  0.787  0.213  0.787
O  0.213  0.787  0.213

Output
VASP energy, eV per cell: -100.57
DOS(E_F), states/eV per cell: 7.5
V, Å³ per atom: 14.21

Among the records above, which one has the highest V? Ca6VO8

Look up the DOS(E_F) of the second one. 1.9 states/eV per cell

VASP energy of number 2 (UAl2CrO8)? -94.58 eV per cell